No. 1
DFT (PBE-GGA) results for Pm3Dy6Er after structural relaxation.

abc: 6.5313 6.5383 9.5643
angles: 70.32 70.11 60.09
Closest atoms and distances in Å follow each position.
Sites, in units of the cell vectors:
Pm 0.0000 0.0000 0.0000  6 Dy 3.38-3.78, 2 Pm 3.39
Pm 0.1424 0.5585 0.3115  1 Er 3.22, 4 Dy 3.34-3.42, 2 Pm 3.39-3.47
Pm 0.8576 0.4415 0.6885  1 Er 3.22, 4 Dy 3.34-3.42, 2 Pm 3.39-3.47
Dy 0.0106 0.8631 0.6857  1 Er 3.23, 3 Dy 3.35-3.41, 3 Pm 3.36-3.40
Dy 0.3480 0.3489 0.9491  7 Dy 3.60-3.91, 5 Pm 3.61-3.81, 1 Er 3.95
Dy 0.4400 0.0111 0.6858  1 Er 3.24, 3 Pm 3.34-3.42, 4 Dy 3.35-3.60
Dy 0.5600 0.9889 0.3142  1 Er 3.24, 3 Pm 3.34-3.42, 4 Dy 3.35-3.60
Dy 0.6520 0.6511 0.0509  7 Dy 3.60-3.91, 5 Pm 3.61-3.81, 1 Er 3.95
Dy 0.9894 0.1369 0.3143  1 Er 3.23, 3 Dy 3.35-3.41, 3 Pm 3.36-3.40
Er 0.5000 0.5000 0.5000  2 Pm 3.22, 4 Dy 3.23-3.24

Values from the calculation:
**ΔE to the lowest computed polymorph**: 6 meV per atom
**SG**: P-1
**Total DFT energy (no corrections)**: -4.488 eV/atom

=====

No. 2
DFT (PBE-GGA) results for PmAlP2N6 after structural relaxation.

abc: 7.1165 7.1165 5.7021
angles: 107.06 107.06 87.63
Closest atoms and distances in Å follow each position.
Sites, in units of the cell vectors:
Pm 0.1282 0.8718 0.7500  4 N 2.39-2.41
Pm 0.8718 0.1282 0.2500  4 N 2.39-2.41
Al 0.2370 0.7630 0.2500  4 N 1.81-1.88
Al 0.7630 0.2370 0.7500  4 N 1.81-1.88
P 0.2134 0.3701 0.8090  4 N 1.59-1.69
P 0.3701 0.2134 0.3090  4 N 1.59-1.69
P 0.6299 0.7866 0.6910  4 N 1.59-1.69
P 0.7866 0.6299 0.1910  4 N 1.59-1.69
N 0.0154 0.2291 0.7062  1 P 1.62
N 0.2096 0.6010 0.9295  1 P 1.59
N 0.2291 0.0154 0.2062  1 P 1.62
N 0.2626 0.3432 0.5285  2 P 1.68-1.69
N 0.3432 0.2626 0.0285  2 P 1.68-1.69
N 0.3990 0.7904 0.5705  1 P 1.59
N 0.6010 0.2096 0.4295  1 P 1.59
N 0.6568 0.7374 0.9715  2 P 1.68-1.69
N 0.7374 0.6568 0.4715  2 P 1.68-1.69
N 0.7709 0.9846 0.7938  1 P 1.62
N 0.7904 0.3990 0.0705  1 P 1.59
N 0.9846 0.7709 0.2938  1 P 1.62

Values from the calculation:
**SG**: C2/c
**Formation energy (no corrections)**: -509 meV/atom
**Total DFT energy (no corrections)**: -7.435 eV/atom

=====

No. 3
DFT (PBE-GGA) results for BaCuCl2 after structural relaxation.

abc: 4.3675 4.3675 5.9435
angles: 90.00 90.00 90.00
Closest atoms and distances in Å follow each position.
Sites, in units of the cell vectors:
Ba 0.0000 0.0000 0.0000  6 Cl 2.92-3.26
Cu 0.5000 0.5000 0.5954  1 Cl 2.48
Cl 0.0000 0.0000 0.5085  2 Ba 2.92-3.02, 4 Cu 3.13
Cl 0.5000 0.5000 0.1777  1 Cu 2.48

Values from the calculation:
**ΔE to the lowest computed polymorph**: 144 meV per atom
**SG**: P4mm
**Formation energy (no corrections)**: -1047 meV/atom
**Total DFT energy (no corrections)**: -3.475 eV/atom

=====

No. 4
DFT (PBE-GGA) results for Pr4GeSeBr2 after structural relaxation.

abc: 7.4287 4.3518 7.7069
angles: 90.00 109.29 90.00
Closest atoms and distances in Å follow each position.
Sites, in units of the cell vectors:
Pr 0.2338 0.0000 0.2126  2 Ge 2.92, 1 Se 2.96, 3 Br 3.23-3.26
Pr 0.2589 0.5000 0.7891  1 Ge 2.90, 2 Se 2.94
Pr 0.7411 0.5000 0.2109  1 Ge 2.90, 2 Se 2.94
Pr 0.7662 0.0000 0.7874  2 Ge 2.92, 1 Se 2.96, 3 Br 3.23-3.26
Ge 0.0000 0.5000 0.0000  6 Pr 2.90-2.92
Se 0.5000 0.0000 0.0000  6 Pr 2.94-2.96
Br 0.0000 0.0000 0.5000  6 Pr 3.23-3.25
Br 0.5000 0.5000 0.5000  6 Pr 3.26-3.29

Values from the calculation:
**SG**: P2/m
**Formation energy (no corrections)**: -1348 meV/atom
**Total DFT energy (no corrections)**: -5.168 eV/atom

=====

No. 5
DFT (PBE-GGA) results for Ga3SiRh3 after structural relaxation.

abc: 5.1256 5.1256 5.1256
angles: 108.69 108.69 108.69
Closest atoms and distances in Å follow each position.
Sites, in units of the cell vectors:
Ga 0.9999 0.5001 0.5001  6 Rh 2.56-2.66
Ga 0.5001 0.9999 0.5001  6 Rh 2.56-2.66
Ga 0.5001 0.5001 0.9999  6 Rh 2.56-2.66
Si 0.0010 0.0010 0.0010  6 Rh 2.56
Rh 0.0000 0.0000 0.5000  2 Si 2.56, 6 Ga 2.56-2.66
Rh 0.0000 0.5000 0.0000  2 Si 2.56, 6 Ga 2.56-2.66
Rh 0.5000 0.0000 0.0000  2 Si 2.56, 6 Ga 2.56-2.66

Values from the calculation:
**ΔE to the lowest computed polymorph**: 0 meV per atom
**SG**: R3m
**Formation energy (no corrections)**: -523 meV/atom
**Total DFT energy (no corrections)**: -5.746 eV/atom

=====

No. 6
DFT (PBE-GGA) results for Sm2Zn3Pt2 after structural relaxation.

abc: 9.9880 4.2842 7.0380
angles: 90.00 112.51 90.00
Closest atoms and distances in Å follow each position.
Sites, in units of the cell vectors:
Sm 0.1461 0.0000 0.2661  4 Pt 2.96-3.08, 6 Zn 3.10-3.31
Sm 0.3539 0.5000 0.7339  4 Pt 2.96-3.08, 6 Zn 3.10-3.31
Sm 0.6461 0.5000 0.2661  4 Pt 2.96-3.08, 6 Zn 3.10-3.31
Sm 0.8539 0.0000 0.7339  4 Pt 2.96-3.08, 6 Zn 3.10-3.31
Zn 0.0000 0.5000 0.5000  4 Pt 2.66, 2 Zn 2.84
Zn 0.1245 0.5000 0.9369  3 Pt 2.72-2.76, 2 Zn 2.84-2.94
Zn 0.3755 0.0000 0.0631  3 Pt 2.72-2.76, 2 Zn 2.84-2.94
Zn 0.5000 0.0000 0.5000  4 Pt 2.66, 2 Zn 2.84
Zn 0.6245 0.0000 0.9369  3 Pt 2.72-2.76, 2 Zn 2.84-2.94
Zn 0.8755 0.5000 0.0631  3 Pt 2.72-2.76, 2 Zn 2.84-2.94
Pt 0.1419 0.0000 0.7011  5 Zn 2.66-2.76, 3 Sm 2.96-2.97
Pt 0.3581 0.5000 0.2989  5 Zn 2.66-2.76, 3 Sm 2.96-2.97
Pt 0.6419 0.5000 0.7011  5 Zn 2.66-2.76, 3 Sm 2.96-2.97
Pt 0.8581 0.0000 0.2989  5 Zn 2.66-2.76, 3 Sm 2.96-2.97

Values from the calculation:
**SG**: C2/m
**Total DFT energy (no corrections)**: -4.406 eV/atom

=====

No. 7
DFT (PBE-GGA) results for AgSbTe2O after structural relaxation.

abc: 4.9283 4.9283 4.7158
angles: 90.00 90.00 90.00
Closest atoms and distances in Å follow each position.
Sites, in units of the cell vectors:
Ag 0.0000 0.0000 0.0000  8 Te 3.41, 4 Sb 3.48
Sb 0.5000 0.5000 0.0000  2 O 2.36
Te 0.0000 0.5000 0.5000  2 O 2.46
Te 0.5000 0.0000 0.5000  2 O 2.46
O 0.5000 0.5000 0.5000  2 Sb 2.36, 4 Te 2.46

Values from the calculation:
**ΔE to the lowest computed polymorph**: 76 meV per atom
**SG**: P4/mmm
**Formation energy (no corrections)**: 208 meV/atom
**Total DFT energy (no corrections)**: -3.435 eV/atom